Entry 1:
The following is a GGA-PBE calculation of SmHoS2F2 after structural relaxation, from OQMD.

Computed properties:
Spin magnetization, μB/cell: 0.0
DFT total energy, eV/atom: -6.543

Cell: 3.782 3.782 6.813 Å, 90.00 90.00 90.00°
Space group P4mm (No. 99)
Unique sites:
Sm (0.000, 0.000, 0.000) (multiplicity 1)
Ho (0.500, 0.500, 0.542) (multiplicity 1)
S (0.000, 0.000, 0.420) (multiplicity 1)
S (0.500, 0.500, 0.134) (multiplicity 1)
F (0.000, 0.500, 0.768) (multiplicity 2)


Entry 2:
The following is a GGA-PBE calculation of MgScCuBi after structural relaxation, from OQMD.

Computed properties:
Spin magnetization, μB/cell: 0.0
ΔE to the lowest computed polymorph, meV/atom: 0

Cell: 6.970 6.970 6.970 Å, 90.00 90.00 90.00°
Space group F-43m (No. 216)
Unique sites:
Mg (0.000, 0.000, 0.000) (multiplicity 4)
Sc (0.000, 0.000, 0.500) (multiplicity 4)
Cu (0.250, 0.250, 0.750) (multiplicity 4)
Bi (0.250, 0.250, 0.250) (multiplicity 4)


Entry 3:
The following is a GGA-PBE calculation of LaReNO after structural relaxation, from OQMD.

Computed properties:
Spin magnetization, μB/cell: 0.0
ΔE to the lowest computed polymorph, meV/atom: 296

Cell: 3.999 5.490 5.438 Å, 90.00 90.00 90.00°
Space group Pmc2_1 (No. 26)
Unique sites:
La (0.000, 0.250, 0.000) (multiplicity 2)
Re (0.500, 0.245, 0.498) (multiplicity 2)
N (0.500, 0.002, 0.749) (multiplicity 2)
O (0.000, 0.324, 0.494) (multiplicity 2)


Entry 4:
The following is a GGA-PBE calculation of Rb2TlCuBr6 after structural relaxation, from OQMD.

Computed properties:
ΔE to the lowest computed polymorph, meV/atom: 4

Cell: 7.7538 7.7538 19.0054 Å, 90.00 90.00 120.00°
Space group R-3 (No. 148, hexagonal axes)
Unique sites:
Rb (0.0000, 0.0000, 0.2502) (multiplicity 6)
Tl (0.0000, 0.0000, 0.5000) (multiplicity 3)
Cu (0.0000, 0.0000, 0.0000) (multiplicity 3)
Br (0.0170, 0.5071, 0.7458) (multiplicity 18)


Entry 5:
The following is a GGA-PBE calculation of Hf4GaSnN2 after structural relaxation, from OQMD.

Computed properties:
Spin magnetization, μB/cell: 0.0
DFT total energy, eV/atom: -9.018

Cell: 3.2269 3.2269 14.2642 Å, 90.00 90.00 120.00°
Space group P-6m2 (No. 187)
Unique sites:
Hf (0.0000, 0.0000, 0.1548) (multiplicity 2)
Hf (0.3333, 0.6667, 0.3318) (multiplicity 2)
Ga (0.3333, 0.6667, 0.0000) (multiplicity 1)
Sn (0.0000, 0.0000, 0.5000) (multiplicity 1)
N (0.6667, 0.3333, 0.2418) (multiplicity 2)


Entry 6:
The following is a GGA-PBE calculation of BaHg2AsP after structural relaxation, from OQMD.

Computed properties:
DFT total energy, eV/atom: -2.909

Cell: 4.5676 4.5676 7.6723 Å, 90.00 90.00 120.00°
Space group P3m1 (No. 156)
Unique sites:
Ba (0.0000, 0.0000, 0.0000) (multiplicity 1)
Hg (0.3333, 0.6667, 0.6363) (multiplicity 1)
Hg (0.6667, 0.3333, 0.3405) (multiplicity 1)
As (0.6667, 0.3333, 0.7294) (multiplicity 1)
P (0.3333, 0.6667, 0.2587) (multiplicity 1)